# 1
Density functional theory data (PBE) for crystalline MnCu2HgS4 at its relaxed geometry.

The total magnetization is 5.99 μB/cell. For the volume, the calculation gives 319.55 Å³ per cell. For the energy relative to the elements, uncorrected, the calculation gives -0.30 eV/atom. The total energy is -73.19 eV per cell.

The structure belongs to space group I-42m (No. 121); the cell edges are 5.455, 5.455 and 10.739 Å and the angles 90.00°, 90.00° and 90.00°. The distinct sites, in fractional coordinates, are Mn at (0.000, 0.000, 0.000), Cu at (0.000, 0.500, 0.250), Hg at (0.000, 0.000, 0.500) and S at (0.222, 0.222, 0.864).

***

# 2
Density functional theory data (PBE) for crystalline ScMn2CuHg at its relaxed geometry.

The total magnetization is 6.17 μB/cell. For the volume, the calculation gives 114.07 Å³ per cell. Its energy relative to the elements is 1346 meV per atom. The total energy is -22.34 eV per cell.

The structure belongs to space group P4/mmm (No. 123); the cell edges are 4.628, 4.628 and 5.327 Å and the angles 90.00°, 90.00° and 90.00°. The distinct sites, in fractional coordinates, are Sc at (0.000, 0.000, 0.000), Mn at (0.000, 0.500, 0.000), Cu at (0.500, 0.500, 0.500) and Hg at (0.000, 0.000, 0.500).

***

# 3
Density functional theory data (PBE) for crystalline MnCuHgTe3 at its relaxed geometry.

The total magnetization is 5.20 μB/cell. For the volume, the calculation gives 320.71 Å³ per cell. For the energy relative to the elements, uncorrected, the calculation gives -0.11 eV/atom. The total energy is -47.35 eV per cell.

The structure belongs to space group P2_1/m (No. 11); the cell edges are 8.925, 3.855 and 10.220 Å and the angles 90.00°, 114.22° and 90.00°. The distinct sites, in fractional coordinates, are Mn at (0.031, 0.250, 0.331), Cu at (0.017, 0.750, 0.096), Hg at (0.496, 0.250, 0.233), Te at (0.156, 0.250, 0.622), Te at (0.195, 0.750, 0.944) and Te at (0.248, 0.750, 0.348).

***

# 4
Density functional theory data (PBE) for crystalline ZrMnCu2Hg at its relaxed geometry.

The total magnetization is 2.88 μB/cell. For the volume, the calculation gives 119.10 Å³ per cell. Its energy relative to the elements is 1242 meV per atom. The total energy is -20.00 eV per cell.

The structure belongs to space group P4/mmm (No. 123); the cell edges are 4.982, 4.982 and 4.798 Å and the angles 90.00°, 90.00° and 90.00°. The distinct sites, in fractional coordinates, are Zr at (0.000, 0.000, 0.000), Mn at (0.000, 0.000, 0.500), Cu at (0.000, 0.500, 0.000) and Hg at (0.500, 0.500, 0.500).